AlIn2S4, optimized geometry, DFT PBE; raw formation energy = -0.484 eV per atom; M_tot = 0.0 μB per cell; total energy = -4.160 eV/atom
1.0
3.590 0.000 0.000
-1.795 6.163 0.000
0.000 0.000 13.058
S In Al
8 4 2
direct
0.779 0.559 0.128 S
0.985 0.970 0.750 S
0.500 0.000 0.500 S
0.221 0.441 0.872 S
0.779 0.559 0.372 S
0.221 0.441 0.628 S
0.015 0.030 0.250 S
0.500 0.000 0.000 S
0.867 0.733 0.928 In
0.133 0.267 0.428 In
0.133 0.267 0.072 In
0.867 0.733 0.572 In
0.618 0.236 0.750 Al
0.382 0.764 0.250 Al